The following is a DFT calculation (PBE) of an optimized crystal structure of SbSe4Br.

```
SbSe4Br
1.0
0.0000 4.0896 4.0896
4.0896 0.0000 4.0896
4.0896 4.0896 0.0000
Sb Se Br
1 4 1
direct
0.0000 0.0000 0.0000
0.1196 0.6268 0.6268
0.6268 0.1196 0.6268
0.6268 0.6268 0.1196
0.6268 0.6268 0.6268
0.2500 0.2500 0.2500
```

Properties
**V**: 22.8 Å³ per atom
**N(E_F)**: 0.304 states/eV per atom
**Final energy**: -17.0 eV for the cell shown
**ρ**: 6282 kg/m3

The following is a DFT calculation (PBE) of an optimized crystal structure of ZnCdO2.

```
ZnCdO2
1.0
0.0000 2.8305 2.8305
2.8305 0.0000 2.8305
2.8305 2.8305 0.0000
Zn Cd O
1 1 2
direct
0.0000 0.0000 0.0000
0.5000 0.5000 0.5000
0.2500 0.2500 0.2500
0.7500 0.7500 0.7500
```

Properties
**V**: 11.3 Å³ per atom
**N(E_F)**: 0.320 states/eV per atom
**Final energy**: -14.6 eV for the cell shown
**ρ**: 7682 kg/m3

The following is a DFT calculation (PBE) of an optimized crystal structure of La7Mg3Cd2.

```
La7Mg3Cd2
1.0
2.8308 -12.9814 0.0000
2.8308 12.9814 0.0000
0.0000 0.0000 5.6473
La Mg Cd
7 3 2
direct
0.0000 0.0000 0.0000
0.0902 0.9098 0.5000
0.2808 0.7192 0.0000
0.4183 0.5817 0.0000
0.5817 0.4183 0.0000
0.7192 0.2808 0.0000
0.9098 0.0902 0.5000
0.3433 0.6567 0.5000
0.5000 0.5000 0.5000
0.6567 0.3433 0.5000
0.1537 0.8463 0.0000
0.8463 0.1537 0.0000
```

Properties
**V**: 34.6 Å³ per atom
**N(E_F)**: 1.381 states/eV per atom
**Final energy**: -40.0 eV for the cell shown
**ρ**: 5081 kg/m3
**DFT formation energy**: 104 kJ/mol of formula units

The following is a DFT calculation (PBE) of an optimized crystal structure of KGdGe4.

```
KGdGe4
1.0
0.0000 4.0648 4.0648
4.0648 0.0000 4.0648
4.0648 4.0648 0.0000
K Gd Ge
1 1 4
direct
0.0000 0.0000 0.0000
0.7500 0.7500 0.7500
0.3779 0.3779 0.3779
0.3779 0.3779 0.8663
0.3779 0.8663 0.3779
0.8663 0.3779 0.3779
```

Properties
**V**: 22.4 Å³ per atom
**Final energy**: -34.9 eV for the cell shown
**ρ**: 6019 kg/m3
**DFT formation energy**: -124 kJ/mol of formula units

The following is a DFT calculation (PBE) of an optimized crystal structure of AlRe2Si.

```
AlRe2Si
1.0
-3.6547 3.6547 2.4494
3.6547 -3.6547 2.4494
3.6547 3.6547 -2.4494
Al Re Si
2 4 2
direct
0.0000 0.0000 0.0000
0.7500 0.2500 0.5000
0.1947 0.6250 0.0697
0.3750 0.4447 0.5697
0.5553 0.1250 0.9303
0.8750 0.8053 0.4303
0.2500 0.7500 0.5000
0.5000 0.5000 0.0000
```

Properties
**V**: 16.4 Å³ per atom
**N(E_F)**: 0.814 states/eV per atom
**Final energy**: -64.1 eV for the cell shown
**ρ**: 10848 kg/m3
**Excess energy over the best structure of this formula in the dataset**: 767.6 meV per atom

The following is a DFT calculation (PBE) of an optimized crystal structure of Cs2TeH.

```
Cs2TeH
1.0
5.4655 -3.4722 0.0000
5.4655 3.4722 0.0000
-2.2632 0.0000 4.4516
Cs Te H
2 1 1
direct
0.0000 0.0000 0.0000
0.5757 0.5757 0.5719
0.2878 0.2878 0.7856
0.2878 0.2878 0.2783
```

Properties
**V**: 42.2 Å³ per atom
**N(E_F)**: 0.143 states/eV per atom
**Final energy**: -9.7 eV for the cell shown
**ρ**: 3876 kg/m3
**Excess energy over the best structure of this formula in the dataset**: 61.3 meV per atom

The following is a DFT calculation (PBE) of an optimized crystal structure of SmAl4Pb.

```
SmAl4Pb
1.0
0.0000 4.0060 4.0060
4.0060 0.0000 4.0060
4.0060 4.0060 0.0000
Sm Al Pb
1 4 1
direct
0.0000 0.0000 0.0000
0.3750 0.3750 0.3750
0.3750 0.3750 0.8751
0.3750 0.8751 0.3750
0.8751 0.3750 0.3750
0.7500 0.7500 0.7500
```

Properties
**V**: 21.4 Å³ per atom
**N(E_F)**: 0.575 states/eV per atom
**Final energy**: -24.4 eV for the cell shown
**ρ**: 6012 kg/m3
**DFT formation energy**: -99 kJ/mol of formula units

The following is a DFT calculation (PBE) of an optimized crystal structure of Li2NdAu2.

```
Li2NdAu2
1.0
3.9773 0.0000 0.0000
0.0000 3.9773 0.0000
0.0000 0.0000 6.5591
Li Nd Au
2 1 2
direct
0.0000 0.5000 0.0000
0.5000 0.0000 0.0000
0.0000 0.0000 0.5000
0.5000 0.5000 0.2780
0.5000 0.5000 0.7220
```

Properties
**V**: 20.8 Å³ per atom
**N(E_F)**: 0.452 states/eV per atom
**Final energy**: -18.1 eV for the cell shown
**ρ**: 8835 kg/m3
**DFT formation energy**: -289 kJ/mol of formula units
**Excess energy over the best structure of this formula in the dataset**: 7.3 meV per atom

The following is a DFT calculation (PBE) of an optimized crystal structure of BaPmCdAg.

```
BaPmCdAg
1.0
0.0000 3.9738 3.9738
3.9738 0.0000 3.9738
3.9738 3.9738 0.0000
Ba Pm Cd Ag
1 1 1 1
direct
0.0000 0.0000 0.0000
0.5000 0.5000 0.5000
0.7500 0.7500 0.7500
0.2500 0.2500 0.2500
```

Properties
**V**: 31.4 Å³ per atom
**N(E_F)**: 0.918 states/eV per atom
**Final energy**: -11.1 eV for the cell shown
**ρ**: 6650 kg/m3
**DFT formation energy**: -62 kJ/mol of formula units

The following is a DFT calculation (PBE) of an optimized crystal structure of CoRu2Rh8.

```
CoRu2Rh8
1.0
-2.1244 2.9379 6.3266
2.1244 -2.9379 6.3266
2.1244 2.9379 -6.3266
Co Ru Rh
1 2 8
direct
0.0000 0.0000 0.0000
0.3040 0.3040 0.0000
0.6960 0.6960 0.0000
0.1434 0.8631 0.2802
0.1722 0.6722 0.5000
0.2779 0.5000 0.7779
0.4171 0.1369 0.2802
0.5829 0.8631 0.7198
0.7221 0.5000 0.2221
0.8278 0.3278 0.5000
0.8566 0.1369 0.7198
```

Properties
**V**: 14.4 Å³ per atom
**N(E_F)**: 1.582 states/eV per atom
**Final energy**: -82.2 eV for the cell shown
**ρ**: 11400 kg/m3
**DFT formation energy**: 215 kJ/mol of formula units

The following is a DFT calculation (PBE) of an optimized crystal structure of LiCu2Hg.

```
LiCu2Hg
1.0
1.4295 0.8253 8.9400
-1.4295 0.8253 8.9400
0.0000 -1.6507 8.9400
Li Cu Hg
1 2 1
direct
0.0000 0.0000 0.0000
0.2560 0.2560 0.2560
0.7440 0.7440 0.7440
0.5000 0.5000 0.5000
```

Properties
**V**: 15.8 Å³ per atom
**N(E_F)**: 0.295 states/eV per atom
**Final energy**: -9.7 eV for the cell shown
**ρ**: 8780 kg/m3
**DFT formation energy**: 69 kJ/mol of formula units

The following is a DFT calculation (PBE) of an optimized crystal structure of AcAlSi2Ir.

```
AcAlSi2Ir
1.0
-2.0967 2.0967 5.3938
2.0967 -2.0967 5.3938
2.0967 2.0967 -5.3938
Ac Al Si Ir
1 1 2 1
direct
0.0000 0.0000 0.0000
0.7500 0.2500 0.5000
0.3791 0.3791 0.0000
0.6209 0.6209 0.0000
0.2500 0.7500 0.5000
```

Properties
**V**: 19.0 Å³ per atom
**N(E_F)**: 0.315 states/eV per atom
**Final energy**: -31.1 eV for the cell shown
**ρ**: 8795 kg/m3

The following is a DFT calculation (PBE) of an optimized crystal structure of NiBi.

```
NiBi
1.0
-3.8647 3.8647 3.8647
3.8647 -3.8647 3.8647
3.8647 3.8647 -3.8647
Ni Bi
4 4
direct
0.0000 0.0000 0.7654
0.0000 0.7654 0.0000
0.2346 0.2346 0.2346
0.7654 0.0000 0.0000
0.0000 0.0000 0.3960
0.0000 0.3960 0.0000
0.3960 0.0000 0.0000
0.6040 0.6040 0.6040
```

Properties
**V**: 28.9 Å³ per atom
**N(E_F)**: 0.607 states/eV per atom
**Final energy**: -36.6 eV for the cell shown
**ρ**: 7700 kg/m3
**DFT formation energy**: 49 kJ/mol of formula units

The following is a DFT calculation (PBE) of an optimized crystal structure of BaZr2Cu.

```
BaZr2Cu
1.0
5.2289 0.0000 0.0000
0.0000 5.2289 0.0000
0.0000 0.0000 3.3923
Ba Zr Cu
1 2 1
direct
0.0000 0.0000 0.0000
0.0000 0.5000 0.5000
0.5000 0.0000 0.5000
0.5000 0.5000 0.0000
```

Properties
**V**: 23.2 Å³ per atom
**N(E_F)**: 1.101 states/eV per atom
**Final energy**: -20.1 eV for the cell shown
**ρ**: 6863 kg/m3
**DFT formation energy**: 290 kJ/mol of formula units
**Excess energy over the best structure of this formula in the dataset**: 606.6 meV per atom

The following is a DFT calculation (PBE) of an optimized crystal structure of CsH12N3.

```
CsH12N3
1.0
4.7040 2.7159 7.9263
-4.7040 2.7159 7.9263
0.0000 -5.4317 7.9263
Cs H N
2 24 6
direct
0.0000 0.0000 0.0000
0.5000 0.5000 0.5000
0.0362 0.5460 0.0421
0.0407 0.5430 0.8619
0.0421 0.0362 0.5460
0.0416 0.3621 0.0477
0.0430 0.5407 0.3619
0.0426 0.8572 0.5446
0.0446 0.3572 0.5426
0.0460 0.5362 0.5421
0.0477 0.0416 0.3621
0.3572 0.5426 0.0446
0.3619 0.0430 0.5407
0.3621 0.0477 0.0416
0.5362 0.5421 0.0460
0.5407 0.3619 0.0430
0.5421 0.0460 0.5362
0.5416 0.5477 0.8621
0.5426 0.0446 0.3572
0.5430 0.8619 0.0407
0.5446 0.0426 0.8572
0.5460 0.0421 0.0362
0.5477 0.8621 0.5416
0.8572 0.5446 0.0426
0.8619 0.0407 0.5430
0.8621 0.5416 0.5477
0.4939 0.4987 0.9989
0.4987 0.9989 0.4939
0.4989 0.9987 0.9939
0.9939 0.4989 0.9987
0.9989 0.4939 0.4987
0.9987 0.9939 0.4989
```

Properties
**V**: 19.0 Å³ per atom
**N(E_F)**: 0.388 states/eV per atom
**Final energy**: -132.1 eV for the cell shown
**ρ**: 1022 kg/m3

The following is a DFT calculation (PBE) of an optimized crystal structure of Na2FeReS.

```
Na2FeReS
1.0
5.5308 0.0000 0.0000
0.0000 5.5308 0.0000
0.0000 0.0000 4.0644
Na Fe Re S
2 1 1 1
direct
0.0000 0.5000 0.0000
0.5000 0.0000 0.0000
0.0000 0.0000 0.0000
0.5000 0.5000 0.5000
0.0000 0.0000 0.5000
```

Properties
**V**: 24.9 Å³ per atom
**N(E_F)**: 0.922 states/eV per atom
**Final energy**: -21.6 eV for the cell shown
**ρ**: 4275 kg/m3

The following is a DFT calculation (PBE) of an optimized crystal structure of Ba2NaLi2Tl5.

```
Ba2NaLi2Tl5
1.0
11.9839 0.0000 0.0000
0.0000 11.9839 0.0000
0.0000 0.0000 4.1013
Ba Na Li Tl
4 2 4 10
direct
0.1827 0.3173 0.0000
0.3173 0.8173 0.0000
0.6827 0.1827 0.0000
0.8173 0.6827 0.0000
0.0000 0.0000 0.0000
0.5000 0.5000 0.0000
0.1160 0.6160 0.0000
0.3840 0.1160 0.0000
0.6160 0.8840 0.0000
0.8840 0.3840 0.0000
0.0000 0.5000 0.5000
0.0557 0.7948 0.5000
0.2052 0.0557 0.5000
0.2948 0.5557 0.5000
0.4443 0.2948 0.5000
0.5000 0.0000 0.5000
0.5557 0.7052 0.5000
0.7052 0.4443 0.5000
0.7948 0.9443 0.5000
0.9443 0.2052 0.5000
```

Properties
**V**: 29.5 Å³ per atom
**N(E_F)**: 0.558 states/eV per atom
**Final energy**: -47.1 eV for the cell shown
**ρ**: 7519 kg/m3
**DFT formation energy**: -261 kJ/mol of formula units

The following is a DFT calculation (PBE) of an optimized crystal structure of Ti4CrBi2.

```
Ti4CrBi2
1.0
-5.2708 5.2708 2.5506
5.2708 -5.2708 2.5506
5.2708 5.2708 -2.5506
Ti Cr Bi
8 2 4
direct
0.0798 0.8080 0.8878
0.1920 0.0798 0.2718
0.3080 0.5798 0.8878
0.4202 0.3080 0.7282
0.5798 0.6920 0.2718
0.6920 0.4202 0.1122
0.8080 0.9202 0.7282
0.9202 0.1920 0.1122
0.2500 0.2500 0.0000
0.7500 0.7500 0.0000
0.1393 0.3607 0.5000
0.3607 0.8607 0.2214
0.6393 0.1393 0.7786
0.8607 0.6393 0.5000
```

Properties
**V**: 20.2 Å³ per atom
**N(E_F)**: 0.345 states/eV per atom
**Final energy**: -101.0 eV for the cell shown
**ρ**: 7750 kg/m3
**DFT formation energy**: -150 kJ/mol of formula units

The following is a DFT calculation (PBE) of an optimized crystal structure of NdSiHgO4.

```
NdSiHgO4
1.0
5.8118 -3.1587 0.0000
5.8118 3.1587 0.0000
-1.3773 0.0000 6.8788
Nd Si Hg O
2 2 2 8
direct
0.1951 0.1951 0.3483
0.8049 0.8049 0.6517
0.1371 0.1371 0.7652
0.8629 0.8629 0.2348
0.3907 0.3907 0.0079
0.6093 0.6093 0.9921
0.0020 0.0020 0.2435
0.0184 0.6132 0.3502
0.2060 0.2060 0.9992
0.3868 0.9816 0.6498
0.6132 0.0184 0.3502
0.7940 0.7940 0.0008
0.9816 0.3868 0.6498
0.9980 0.9980 0.7565
```

Properties
**V**: 18.0 Å³ per atom
**N(E_F)**: 0.000 states/eV per atom
**Final energy**: -95.3 eV for the cell shown
**ρ**: 5745 kg/m3

The following is a DFT calculation (PBE) of an optimized crystal structure of K4DyTc3O12.

```
K4DyTc3O12
1.0
-4.0499 4.0499 4.0499
4.0499 -4.0499 4.0499
4.0499 4.0499 -4.0499
K Dy Tc O
4 1 3 12
direct
0.0000 0.0000 0.5000
0.0000 0.5000 0.0000
0.5000 0.0000 0.0000
0.5000 0.5000 0.5000
0.0000 0.0000 0.0000
0.0000 0.5000 0.5000
0.5000 0.0000 0.5000
0.5000 0.5000 0.0000
0.0000 0.2700 0.2700
0.0000 0.7300 0.7300
0.2500 0.5000 0.7500
0.2500 0.7500 0.5000
0.2700 0.0000 0.2700
0.2700 0.2700 0.0000
0.5000 0.2500 0.7500
0.5000 0.7500 0.2500
0.7300 0.0000 0.7300
0.7300 0.7300 0.0000
0.7500 0.2500 0.5000
0.7500 0.5000 0.2500
```

Properties
**V**: 13.3 Å³ per atom
**N(E_F)**: 0.423 states/eV per atom
**Final energy**: -135.0 eV for the cell shown
**ρ**: 5030 kg/m3

The following is a DFT calculation (PBE) of an optimized crystal structure of Li3Sc3TiO8.

```
Li3Sc3TiO8
1.0
3.1004 1.7900 4.9181
-3.1004 1.7900 4.9181
0.0000 -3.5800 4.9181
Li Sc Ti O
3 3 1 8
direct
0.0000 0.5000 0.5000
0.5000 0.0000 0.5000
0.5000 0.5000 0.0000
0.0000 0.0000 0.5000
0.0000 0.5000 0.0000
0.5000 0.0000 0.0000
0.5000 0.5000 0.5000
0.2421 0.2421 0.2421
0.2609 0.7284 0.7284
0.2716 0.2716 0.7391
0.2716 0.7391 0.2716
0.7284 0.2609 0.7284
0.7284 0.7284 0.2609
0.7391 0.2716 0.2716
0.7579 0.7579 0.7579
```

Properties
**V**: 10.9 Å³ per atom
**N(E_F)**: 0.000 states/eV per atom
**Final energy**: -116.9 eV for the cell shown
**ρ**: 3362 kg/m3

The following is a DFT calculation (PBE) of an optimized crystal structure of KCa2Ta.

```
KCa2Ta
1.0
0.0000 4.0974 4.0974
4.0974 0.0000 4.0974
4.0974 4.0974 0.0000
K Ca Ta
1 2 1
direct
0.0000 0.0000 0.0000
0.2500 0.2500 0.2500
0.7500 0.7500 0.7500
0.5000 0.5000 0.5000
```

Properties
**V**: 34.4 Å³ per atom
**N(E_F)**: 0.650 states/eV per atom
**Final energy**: -12.8 eV for the cell shown
**ρ**: 3623 kg/m3
**DFT formation energy**: 398 kJ/mol of formula units
**Excess energy over the best structure of this formula in the dataset**: 394.3 meV per atom

The following is a DFT calculation (PBE) of an optimized crystal structure of LaZrZnAg.

```
LaZrZnAg
1.0
0.0000 3.6117 3.6117
3.6117 0.0000 3.6117
3.6117 3.6117 0.0000
La Zr Zn Ag
1 1 1 1
direct
0.0000 0.0000 0.0000
0.5000 0.5000 0.5000
0.7500 0.7500 0.7500
0.2500 0.2500 0.2500
```

Properties
**V**: 23.6 Å³ per atom
**N(E_F)**: 0.834 states/eV per atom
**Final energy**: -17.8 eV for the cell shown
**ρ**: 7109 kg/m3
**DFT formation energy**: -22 kJ/mol of formula units